! PBE BaVP3, relaxed; values from VASP
! - density (g cm⁻³) = 2.98
! - symmetry = No. 221
! - relative energy among the computed polymorphs (eV/atom) = 2.238
&SYSTEM
  ibrav = 0, nat = 5, ntyp = 3
/
ATOMIC_SPECIES
P 30.97 P.upf
Ba 137.33 Ba.upf
V 50.94 V.upf
CELL_PARAMETERS angstrom
-4.4417 -0.8919 2.9268
2.8521 -3.0748 3.3913
1.1078 4.3405 3.0038
ATOMIC_POSITIONS crystal
P 0.0000 0.0000 0.5000
P 0.5000 0.0000 0.0000
P 0.0000 0.5000 0.0000
Ba 0.0000 0.0000 0.0000
V 0.5000 0.5000 0.5000